## AgGe3As (PBE-GGA)

Data for a geometry-optimized AgGe3As structure.

a = 4.969 Å, b = 4.969 Å, c = 4.969 Å
α = 90.00°, β = 90.00°, γ = 90.00°
Sites, in units of the cell vectors:
Ag  0.000  0.000  0.000
Ge  0.000  0.000  0.500
Ge  0.000  0.500  0.000
Ge  0.500  0.000  0.000
As  0.500  0.500  0.500

Output
For the calculated formation energy, the calculation gives 796 meV per atom. As for the space group: Pm-3m. Its crystal system is cubic. The uncorrected energy is -3.47 eV per atom. For the energy above the most stable polymorph in this dataset, the calculation gives 0.004 eV/atom.